Below is RbIr after structural relaxation, with properties calculated at the PBE level.

a b c (Å): 8.062 5.760 11.401
angles (deg): 90.00 90.00 90.00
Each line ends with the local moment (μB).
Positions (direct):
Rb  0.742  0.250  0.829  0.00
Ir  0.394  0.750  0.828  0.36
Ir  0.606  0.250  0.172  0.36
Rb  0.242  0.250  0.671  0.00
Ir  0.399  0.250  0.319  0.35
Ir  0.894  0.750  0.672  0.36
Ir  0.899  0.250  0.181  0.35
Ir  0.101  0.750  0.819  0.35
Rb  0.758  0.750  0.329  0.00
Rb  0.743  0.250  0.513  0.01
Rb  0.757  0.750  0.013  0.01
Rb  0.243  0.250  0.987  0.01
Ir  0.106  0.250  0.328  0.36
Rb  0.258  0.750  0.171  0.00
Ir  0.601  0.750  0.681  0.35
Rb  0.257  0.750  0.487  0.01

Properties
- Polymorph energy (0 for the lowest one): 0.65 eV/f.u.
- E_form: 1.41 eV per formula unit
- Magnetization: 0.213 μB per atom
- Space group: No. 62